Here is a geometry-optimized Th2ZnAu6 structure from Alexandria. Energies are from PBE.

The space group is P-3m1 (No. 164) and the conventional cell measures 6.4914, 6.4914 and 5.3375 Å, with angles of 90.00, 90.00 and 120.00 degrees. Symmetry generates all atoms from Th at (0.3333, 0.6667, 0.1867), Zn at (0.0000, 0.0000, 0.0000) and Au at (0.1826, 0.3652, 0.6960).

The crystal system is trigonal. Its density of states at the Fermi level is 4.54 states/eV/f.u. The total energy is -4.508 eV per atom.